DFT (PBE-GGA) results for a relaxed structure of AgHg2Sb.

Output
Energy in eV/cell: -7.12
Formation energy without anion corrections in eV/f.u.: 0.5
Symmetry: P4mm (99)
D(E_F) in states/eV/atom: 0.319

Lattice parameters (Å, degrees): 3.159 3.159 9.848 90.00 90.00 90.00
Atoms (fractional coordinates):
Ag (0.500, 0.500, 0.754)
Hg (0.000, 0.000, 0.972)
Hg (0.500, 0.500, 0.237)
Sb (0.000, 0.000, 0.538)

=====

DFT (PBE-GGA) results for a relaxed structure of AgHgSb2.

Output
Energy in eV/cell: -10.83
Formation energy without anion corrections in eV/f.u.: 0.6
Symmetry: Imm2 (44)
D(E_F) in states/eV/atom: 0.281

Lattice parameters (Å, degrees): 6.756 6.756 6.756 144.69 142.61 52.37
Atoms (fractional coordinates):
Sb (0.997, 0.997, 0.000)
Sb (0.815, 0.315, 0.500)
Ag (0.484, 0.484, 0.000)
Hg (0.204, 0.704, 0.500)

=====

DFT (PBE-GGA) results for a relaxed structure of AgHg2Sb2.

Output
Energy in eV/cell: -10.44
Formation energy without anion corrections in eV/f.u.: 1.3
Energy above the most stable polymorph in this dataset in meV per atom: 80.5
Symmetry: I4/mmm (139)
D(E_F) in states/eV/atom: 0.420

Lattice parameters (Å, degrees): 3.990 3.990 9.342 77.67 77.67 90.00
Atoms (fractional coordinates):
Sb (0.421, 0.421, 0.158)
Sb (0.579, 0.579, 0.842)
Hg (0.750, 0.250, 0.500)
Hg (0.250, 0.750, 0.500)
Ag (0.000, 0.000, 0.000)

=====

DFT (PBE-GGA) results for a relaxed structure of AgHg2Sb.

Output
Energy in eV/cell: -7.03
Formation energy without anion corrections in eV/f.u.: 0.5
Symmetry: Cmm2 (35)
D(E_F) in states/eV/atom: 0.360

Lattice parameters (Å, degrees): 3.344 3.344 10.399 90.00 90.00 121.93
Atoms (fractional coordinates):
Hg (0.000, 0.000, 0.985)
Hg (0.500, 0.500, 0.242)
Ag (0.500, 0.500, 0.753)
Sb (0.000, 0.000, 0.520)

=====

DFT (PBE-GGA) results for a relaxed structure of AgHg2Sb.

Output
Energy in eV/cell: -6.94
Formation energy without anion corrections in eV/f.u.: 0.6
Symmetry: R-3m (166)
D(E_F) in states/eV/atom: 0.766

Lattice parameters (Å, degrees): 9.452 9.452 9.452 21.19 21.19 21.19
Atoms (fractional coordinates):
Hg (0.006, 0.006, 0.006)
Hg (0.494, 0.494, 0.494)
Ag (0.750, 0.750, 0.750)
Sb (0.250, 0.250, 0.250)

=====

DFT (PBE-GGA) results for a relaxed structure of Ag2HgSb.

Output
Energy in eV/cell: -9.49
Formation energy without anion corrections in eV/f.u.: 0.6
Symmetry: R3m (160)
D(E_F) in states/eV/atom: 0.751

Lattice parameters (Å, degrees): 9.628 9.628 9.628 19.81 19.81 19.81
Atoms (fractional coordinates):
Ag (0.254, 0.254, 0.254)
Ag (0.996, 0.996, 0.996)
Sb (0.743, 0.743, 0.743)
Hg (0.507, 0.507, 0.507)